Below is a geometry-optimized CsCa2Cu2 structure, with properties calculated at the PBE level.

Computed properties:
Calculated volume = 29.66 Å³ per atom
Formation energy = 0.24 eV per atom
Energy above the most stable polymorph in this dataset = 5.3 kJ/mol of atoms

Lattice parameters (Å, degrees): 9.112 9.112 3.572 90.00 90.00 90.00
Fractional coordinates of all 10 atoms:
Cs  0.000  0.000  0.000
Cs  0.500  0.500  0.000
Ca  0.131  0.369  0.000
Ca  0.369  0.869  0.000
Ca  0.631  0.131  0.000
Ca  0.869  0.631  0.000
Cu  0.151  0.651  0.500
Cu  0.349  0.151  0.500
Cu  0.651  0.849  0.500
Cu  0.849  0.349  0.500

Below is a geometry-optimized CaVAgAu2 structure, with properties calculated at the PBE level.

Computed properties:
Calculated volume = 25.96 Å³ per atom
Formation energy = 0.47 eV per atom

Lattice parameters (Å, degrees): 5.156 5.156 4.882 90.00 90.00 90.00
Fractional coordinates of all 5 atoms:
Ca  0.000  0.000  0.000
V  0.500  0.500  0.000
Ag  0.500  0.500  0.500
Au  0.000  0.500  0.500
Au  0.500  0.000  0.500

Below is a geometry-optimized MnNbSnOs structure, with properties calculated at the PBE level.

Computed properties:
Calculated volume = 15.77 Å³ per atom
Formation energy = -0.02 eV per atom

Lattice parameters (Å, degrees): 4.468 4.468 4.468 60.00 60.00 60.00
Fractional coordinates of all 4 atoms:
Mn  0.000  0.000  0.000
Nb  0.250  0.250  0.250
Sn  0.750  0.750  0.750
Os  0.500  0.500  0.500